1.
An optimized crystal structure of NaTa3Pt. Source: the Alexandria database, functional PBE.

## Properties
V   96 Å³ per cell
ΔE_f   2.195 eV/atom
Size of the total moment   0.00 Bohr magnetons per cell
Space group   Pm-3m

a = 4.580 Å, b = 4.580 Å, c = 4.580 Å
α = 90.00°, β = 90.00°, γ = 90.00°
Fractional coordinates of all 5 atoms:
Na1 0.000 0.000 0.000
Pt1 0.500 0.500 0.500
Ta1 0.500 0.000 0.000
Ta2 0.000 0.500 0.000
Ta3 0.000 0.000 0.500

=====

2.
An optimized crystal structure of CaPRu. Source: the Alexandria database, functional PBE.

## Properties
V   58 Å³ per cell
ΔE_f   -0.165 eV/atom
Size of the total moment   1.39 Bohr magnetons per cell
Space group   F-43m

a = 4.341 Å, b = 4.341 Å, c = 4.341 Å
α = 60.00°, β = 60.00°, γ = 60.00°
Fractional coordinates of all 3 atoms:
P1 0.750 0.750 0.750
Ca1 0.500 0.500 0.500
Ru1 0.000 0.000 0.000

=====

3.
An optimized crystal structure of Na7Hg5. Source: the Alexandria database, functional PBE.

## Properties
V   323 Å³ per cell
ΔE_f   -0.183 eV/atom
Size of the total moment   0.00 Bohr magnetons per cell
Space group   C2/m

a = 4.786 Å, b = 7.326 Å, c = 10.741 Å
α = 113.52°, β = 90.00°, γ = 109.06°
Fractional coordinates of all 12 atoms:
Na1 0.500 0.000 0.500
Na2 0.918 0.836 0.259
Na3 0.343 0.685 0.003
Na4 0.392 0.784 0.736
Na5 0.608 0.216 0.264
Na6 0.657 0.315 0.997
Na7 0.082 0.164 0.741
Hg1 0.741 0.482 0.753
Hg2 0.837 0.674 0.507
Hg3 0.163 0.326 0.493
Hg4 0.259 0.518 0.247
Hg5 0.000 0.000 0.000

=====

4.
An optimized crystal structure of Nb3CoRu. Source: the Alexandria database, functional PBE.

## Properties
V   93 Å³ per cell
ΔE_f   0.832 eV/atom
Size of the total moment   0.00 Bohr magnetons per cell
Space group   Pm-3m

a = 4.526 Å, b = 4.526 Å, c = 4.526 Å
α = 90.00°, β = 90.00°, γ = 90.00°
Fractional coordinates of all 5 atoms:
Nb1 0.500 0.000 0.000
Nb2 0.000 0.000 0.500
Nb3 0.000 0.500 0.000
Co1 0.000 0.000 0.000
Ru1 0.500 0.500 0.500

=====

5.
An optimized crystal structure of LaTbRhCl. Source: the Alexandria database, functional PBE.

## Properties
V   109 Å³ per cell
Energy relative to the elements, uncorrected   -1.214 eV per atom
Size of the total moment   0.00 Bohr magnetons per cell
Space group   R3m

a = 4.035 Å, b = 4.035 Å, c = 8.046 Å
α = 89.98°, β = 104.53°, γ = 120.01°
Fractional coordinates of all 4 atoms:
Cl1 0.959 0.378 0.351
Rh1 0.309 0.552 0.876
Tb1 0.105 0.950 0.072
La1 0.505 0.150 0.670

=====

6.
An optimized crystal structure of La6Pm2DyTm. Source: the Alexandria database, functional PBE.

## Properties
V   705 Å³ per cell
ΔE_f   0.115 eV/atom
Size of the total moment   0.00 Bohr magnetons per cell
Space group   C2/c

a = 9.435 Å, b = 9.058 Å, c = 9.058 Å
α = 113.95°, β = 92.52°, γ = 92.52°
Fractional coordinates of all 20 atoms:
La1 0.683 0.987 0.548
La2 0.108 0.706 0.448
La3 0.817 0.452 0.013
La4 0.317 0.013 0.452
La5 0.608 0.448 0.706
La6 0.077 0.087 0.765
La7 0.923 0.913 0.235
La8 0.892 0.294 0.552
La9 0.423 0.235 0.913
La10 0.183 0.548 0.987
La11 0.392 0.552 0.294
La12 0.577 0.765 0.087
Pm1 0.439 0.796 0.712
Pm2 0.561 0.204 0.288
Pm3 0.939 0.712 0.796
Pm4 0.061 0.288 0.204
Tm1 0.250 0.416 0.584
Tm2 0.750 0.584 0.416
Dy1 0.250 0.947 0.053
Dy2 0.750 0.053 0.947

=====

7.
An optimized crystal structure of CeHoCu3. Source: the Alexandria database, functional PBE.

## Properties
V   199 Å³ per cell
ΔE_f   -0.179 eV/atom
Size of the total moment   1.15 Bohr magnetons per cell
Space group   Cmcm

a = 3.497 Å, b = 4.346 Å, c = 13.187 Å
α = 90.00°, β = 97.62°, γ = 90.00°
Fractional coordinates of all 10 atoms:
Cu1 0.524 0.750 0.047
Cu2 0.476 0.250 0.953
Cu3 0.328 0.750 0.655
Cu4 0.381 0.250 0.762
Cu5 0.619 0.750 0.238
Cu6 0.672 0.250 0.345
Ce1 0.927 0.750 0.855
Ce2 0.073 0.250 0.145
Ho1 0.205 0.750 0.410
Ho2 0.795 0.250 0.590

=====

8.
An optimized crystal structure of K4BaSe. Source: the Alexandria database, functional PBE.

## Properties
V   323 Å³ per cell
Energy relative to the elements, uncorrected   0.061 eV per atom
Size of the total moment   0.01 Bohr magnetons per cell
Space group   F-43m

a = 7.698 Å, b = 7.698 Å, c = 7.698 Å
α = 60.00°, β = 60.00°, γ = 60.00°
Fractional coordinates of all 6 atoms:
Ba1 0.000 0.000 0.000
Se1 0.250 0.250 0.250
K1 0.623 0.623 0.131
K2 0.131 0.623 0.623
K3 0.623 0.131 0.623
K4 0.623 0.623 0.623

=====

9.
An optimized crystal structure of LiSiRh2. Source: the Alexandria database, functional PBE.

## Properties
V   51 Å³ per cell
Energy relative to the elements, uncorrected   -0.383 eV per atom
Size of the total moment   0.00 Bohr magnetons per cell
Space group   P4mm

a = 3.046 Å, b = 3.046 Å, c = 5.501 Å
α = 90.00°, β = 90.00°, γ = 90.00°
Fractional coordinates of all 4 atoms:
Rh1 0.500 0.500 0.290
Rh2 0.000 0.000 0.949
Li1 0.500 0.500 0.752
Si1 0.000 0.000 0.510

=====

10.
An optimized crystal structure of PrBO. Source: the Alexandria database, functional PBE.

## Properties
V   94 Å³ per cell
Energy relative to the elements, uncorrected   -1.668 eV per atom
Size of the total moment   0.00 Bohr magnetons per cell
Space group   C2/m

a = 3.367 Å, b = 4.007 Å, c = 8.051 Å
α = 105.96°, β = 90.00°, γ = 114.84°
Fractional coordinates of all 6 atoms:
O1 0.314 0.627 0.387
O2 0.686 0.373 0.613
Pr1 0.407 0.814 0.712
Pr2 0.593 0.186 0.288
B1 0.232 0.463 0.997
B2 0.768 0.537 0.003

=====

11.
An optimized crystal structure of AcThSnBi. Source: the Alexandria database, functional PBE.

## Properties
V   130 Å³ per cell
ΔE_f   -0.481 eV/atom
Size of the total moment   0.00 Bohr magnetons per cell
Space group   F-43m

a = 5.693 Å, b = 5.693 Å, c = 5.693 Å
α = 60.00°, β = 60.00°, γ = 60.00°
Fractional coordinates of all 4 atoms:
Bi1 0.750 0.750 0.750
Sn1 0.250 0.250 0.250
Th1 0.000 0.000 0.000
Ac1 0.500 0.500 0.500

=====

12.
An optimized crystal structure of B2C. Source: the Alexandria database, functional PBE.

## Properties
V   80 Å³ per cell
ΔE_f   0.400 eV/atom
Size of the total moment   0.00 Bohr magnetons per cell
Space group   P-1

a = 3.859 Å, b = 4.694 Å, c = 5.651 Å
α = 122.01°, β = 97.88°, γ = 67.27°
Fractional coordinates of all 12 atoms:
B1 0.233 0.002 0.474
B2 0.329 0.383 0.631
B3 0.967 0.858 0.200
B4 0.033 0.142 0.800
B5 0.767 0.998 0.526
B6 0.671 0.617 0.369
B7 0.091 0.276 0.325
B8 0.909 0.724 0.675
C1 0.684 0.823 0.953
C2 0.316 0.177 0.047
C3 0.391 0.519 0.121
C4 0.609 0.481 0.879

=====

13.
An optimized crystal structure of Cd2In2Ge. Source: the Alexandria database, functional PBE.

## Properties
V   256 Å³ per cell
ΔE_f   0.195 eV/atom
Size of the total moment   0.00 Bohr magnetons per cell
Space group   P4/mbm

a = 7.596 Å, b = 7.596 Å, c = 4.432 Å
α = 90.00°, β = 90.00°, γ = 90.00°
Fractional coordinates of all 10 atoms:
In1 0.148 0.352 0.000
In2 0.352 0.852 0.000
In3 0.648 0.148 0.000
In4 0.852 0.648 0.000
Cd1 0.343 0.157 0.500
Cd2 0.157 0.657 0.500
Cd3 0.657 0.843 0.500
Cd4 0.843 0.343 0.500
Ge1 0.000 0.000 0.000
Ge2 0.500 0.500 0.000

=====

14.
An optimized crystal structure of Be2CuP. Source: the Alexandria database, functional PBE.

## Properties
V   49 Å³ per cell
ΔE_f   0.058 eV/atom
Size of the total moment   0.00 Bohr magnetons per cell
Space group   Pm

a = 3.720 Å, b = 3.317 Å, c = 4.288 Å
α = 113.22°, β = 90.00°, γ = 90.00°
Fractional coordinates of all 4 atoms:
P1 0.500 0.808 0.737
Cu1 0.000 0.642 0.405
Be1 0.000 0.940 0.008
Be2 0.500 0.111 0.350

=====

15.
An optimized crystal structure of YOs2Au. Source: the Alexandria database, functional PBE.

## Properties
V   72 Å³ per cell
ΔE_f   0.389 eV/atom
Size of the total moment   0.00 Bohr magnetons per cell
Space group   F-43m

a = 4.665 Å, b = 4.665 Å, c = 4.665 Å
α = 60.00°, β = 60.00°, γ = 60.00°
Fractional coordinates of all 4 atoms:
Os1 0.000 0.000 0.000
Os2 0.250 0.250 0.250
Y1 0.750 0.750 0.750
Au1 0.500 0.500 0.500

=====

Going through the records in order, we get DFT total energy values of -6.3889; -5.7278; -1.0784; -8.4867; -5.9032; -4.6993; -4.7389; -1.5714; -5.8934; -7.1395; -5.3344; -7.1264; -2.1898; -4.1819; -7.6609 eV per atom.
Going through the records in order, we get D(E_F) values of 1.5480; 0.7895; 0.3694; 1.3805; 0.1705; 1.1900; 1.4287; 1.0776; 0.5285; 0.1541; 1.3766; 0.1181; 0.6115; 0.1927; 1.1586 states/eV/atom.